(1)
The following is a DFT calculation (PBE) of an optimized crystal structure of Rb3Pm3HfS8.

Cell lengths 8.1386, 8.1386, 23.5639 Å; angles 90.00, 90.00, 120.00 degrees
Space group R-3m (No. 166, hexagonal axes)
One atom of each set of equivalent atoms:
Rb  0.0000  0.5000  0.0000
Pm  0.0000  0.5000  0.5000
Hf  0.0000  0.0000  0.5000
S  0.0000  0.0000  0.2321
S  0.0264  0.5132  0.2280

Output
raw total energy	-5.7998	eV per atom
crystal system	trigonal

=====

(2)
The following is a DFT calculation (PBE) of an optimized crystal structure of Rb2Pm2HfS6.

Cell lengths 6.990, 11.964, 8.218 Å; angles 90.00, 106.85, 90.00 degrees
Space group C2/m (No. 12)
One atom of each set of equivalent atoms:
Rb  0.000  0.171  0.000
Pm  0.000  0.334  0.500
Hf  0.000  0.000  0.500
S  0.218  0.154  0.687
S  0.241  0.000  0.314

Output
raw total energy	-5.9725	eV per atom
crystal system	monoclinic